No. 1
Density functional theory data (PBE+U) for Li4Co3SnP4O16 after structural relaxation.

## Properties
D(E_F)	0.00	states/eV per cell
theoretical density	3675	kg/m³
total moment	9.01	Bohr magnetons per cell
total DFT energy (no corrections)	-6.55	eV/atom

The structure in CIF format:
```
data_Li4Co3SnP4O16
_cell_length_a 4.823
_cell_length_b 5.983
_cell_length_c 11.041
_cell_angle_alpha 90.00
_cell_angle_beta 94.09
_cell_angle_gamma 90.00
_symmetry_space_group_name_H-M 'P 1 m 1'
_symmetry_Int_Tables_number 6
_symmetry_space_group_name_Hall 'P -2y'
loop_
_atom_site_label
_atom_site_type_symbol
_atom_site_fract_x
_atom_site_fract_y
_atom_site_fract_z
Li1 Li 0.000 0.240 0.000
Li2 Li 0.423 0.251 0.536
Co1 Co 0.454 0.000 0.797
Co2 Co 0.909 0.000 0.329
Co3 Co 0.936 0.500 0.736
Sn1 Sn 0.434 0.500 0.234
P1 P 0.400 0.500 0.905
P2 P 0.580 0.000 0.101
P3 P 0.856 0.000 0.622
P4 P 0.994 0.500 0.449
O1 O 0.105 0.287 0.384
O2 O 0.147 0.500 0.579
O3 O 0.174 0.000 0.625
O4 O 0.258 0.293 0.838
O5 O 0.263 0.000 0.093
O6 O 0.282 0.500 0.032
O7 O 0.676 0.500 0.451
O8 O 0.699 0.000 0.973
O9 O 0.708 0.000 0.492
O10 O 0.714 0.202 0.177
O11 O 0.718 0.500 0.907
O12 O 0.731 0.204 0.690
```

=====

No. 2
Density functional theory data (PBE+U) for Li2CoSn3P6O24 after structural relaxation.

## Properties
D(E_F)	34.46	states/eV per cell
theoretical density	3483	kg/m³
total moment	15.31	Bohr magnetons per cell
total DFT energy (no corrections)	-6.74	eV/atom

The structure in CIF format:
```
data_Li2CoSn3P6O24
_cell_length_a 8.7333
_cell_length_b 8.7333
_cell_length_c 21.6280
_cell_angle_alpha 90.00
_cell_angle_beta 90.00
_cell_angle_gamma 120.00
_symmetry_space_group_name_H-M 'R 3'
_symmetry_Int_Tables_number 146
_symmetry_space_group_name_Hall 'R 3'
loop_
_atom_site_label
_atom_site_type_symbol
_atom_site_fract_x
_atom_site_fract_y
_atom_site_fract_z
Li1 Li 0.0000 0.0000 0.0000
Li2 Li 0.0000 0.0000 0.4857
Co1 Co 0.0000 0.0000 0.3536
Sn1 Sn 0.0000 0.0000 0.1449
Sn2 Sn 0.0000 0.0000 0.6420
Sn3 Sn 0.0000 0.0000 0.8577
P1 P 0.0391 0.6706 0.4165
P2 P 0.0427 0.3743 0.9186
O1 O 0.0073 0.8056 0.6913
O2 O 0.0157 0.8348 0.4178
O3 O 0.0220 0.1861 0.9226
O4 O 0.1339 0.4639 0.8575
O5 O 0.1396 0.6793 0.4761
O6 O 0.1408 0.4723 0.9767
O7 O 0.1642 0.4783 0.2469
O8 O 0.1637 0.6817 0.7473
```

=====

No. 3
Density functional theory data (PBE+U) for Li2CoSnP2O8 after structural relaxation.

## Properties
energy above the lowest structure with this stoichiometry	0.000	eV per atom
D(E_F)	0.00	states/eV per cell
theoretical density	3567	kg/m³
total moment	5.96	Bohr magnetons per cell

The structure in CIF format:
```
data_Li2CoSnP2O8
_cell_length_a 4.835
_cell_length_b 6.209
_cell_length_c 11.844
_cell_angle_alpha 90.00
_cell_angle_beta 92.53
_cell_angle_gamma 90.00
_symmetry_space_group_name_H-M 'P 1 21 1'
_symmetry_Int_Tables_number 4
_symmetry_space_group_name_Hall 'P 2yb'
loop_
_atom_site_label
_atom_site_type_symbol
_atom_site_fract_x
_atom_site_fract_y
_atom_site_fract_z
Li1 Li 0.013 0.000 0.006
Li2 Li 0.378 0.060 0.555
Co1 Co 0.416 0.248 0.804
Sn1 Sn 0.045 0.248 0.268
P1 P 0.184 0.752 0.357
P2 P 0.409 0.749 0.923
O1 O 0.133 0.224 0.657
O2 O 0.259 0.549 0.864
O3 O 0.262 0.952 0.866
O4 O 0.274 0.249 0.092
O5 O 0.287 0.933 0.276
O6 O 0.290 0.791 0.479
O7 O 0.321 0.746 0.047
O8 O 0.342 0.548 0.311
```